No. 1
Computed, not measured: Sc2CdCu after structural relaxation at the GGA-PBE level of DFT.

Values from the calculation:
- formation enthalpy at 0 K (meV per atom) = -59
- size of the total moment (μB/f.u.) = 0.0
- DOS at the Fermi energy (states/eV per cell) = 4.59

POSCAR file:
```
Sc2CdCu
1.0
-4.160 2.326 2.478
-4.365 -3.127 0.137
5.164 -0.744 1.279
Sc Cu Cd
2 1 1
Cartesian
0.000 0.000 0.000 Sc
-1.732 -2.136 1.362 Sc
-1.629 0.590 2.533 Cu
-4.262 -0.401 1.307 Cd
```

---

No. 2
Computed, not measured: Ca3MgIn3 after structural relaxation at the GGA-PBE level of DFT.

Values from the calculation:
- formation enthalpy at 0 K (meV per atom) = -359
- size of the total moment (μB/f.u.) = 0.0
- DOS at the Fermi energy (states/eV per cell) = 9.33

POSCAR file:
```
Ca3MgIn3
1.0
4.661 0.000 0.702
2.292 6.002 0.603
0.108 0.140 15.105
In Mg Ca
6 2 6
Cartesian
6.439 4.944 4.722 In
2.576 5.249 14.543 In
4.485 0.893 1.867 In
1.321 1.862 7.055 In
5.741 4.281 9.355 In
0.623 1.199 11.688 In
3.761 0.455 6.674 Mg
3.300 5.688 9.736 Mg
1.818 1.529 3.755 Ca
5.244 4.613 12.655 Ca
2.602 1.890 14.368 Ca
3.788 4.043 6.499 Ca
4.459 4.253 2.042 Ca
3.274 2.100 9.911 Ca
```

---

No. 3
Computed, not measured: PuTlHg4 after structural relaxation at the GGA-PBE level of DFT.

Values from the calculation:
- formation enthalpy at 0 K (meV per atom) = 67
- size of the total moment (μB/f.u.) = 6.0
- DOS at the Fermi energy (states/eV per cell) = 15.07

POSCAR file:
```
PuTlHg4
1.0
-1.914 3.264 -2.282
-2.279 -2.976 -2.345
-7.031 0.348 6.393
Pu Tl Hg
1 1 4
Cartesian
-9.111 0.503 4.071 Pu
-5.778 -2.790 0.843 Tl
-4.941 -1.247 -1.929 Hg
-2.846 -1.391 0.386 Hg
-6.431 -1.214 3.646 Hg
-8.529 -1.070 1.333 Hg
```

---

No. 4
Computed, not measured: Tl2AgPCl6 after structural relaxation at the GGA-PBE level of DFT.

Values from the calculation:
- size of the total moment (μB/f.u.) = 0.0
- energy relative to the elements, uncorrected (kJ per mole of atoms) = -65

POSCAR file:
```
Tl2AgPCl6
1.0
7.222 0.001 0.001
0.001 7.224 0.001
3.613 3.614 5.111
P Tl Cl Ag
1 2 6 1
Cartesian
3.612 3.613 0.001 P
7.223 3.614 2.554 Tl
3.613 7.226 2.559 Tl
3.612 3.613 2.425 Cl
1.897 1.900 0.001 Cl
8.939 8.939 5.112 Cl
1.899 5.328 0.001 Cl
7.224 7.227 2.688 Cl
8.937 5.512 5.112 Cl
0.000 0.000 0.000 Ag
```

---

No. 5
Computed, not measured: KPmAs2O6 after structural relaxation at the GGA-PBE level of DFT.

Values from the calculation:
- size of the total moment (μB/f.u.) = 2.0
- energy relative to the elements, uncorrected (kJ per mole of atoms) = -170
- DOS at the Fermi energy (states/eV per cell) = 0.53

POSCAR file:
```
KPmAs2O6
1.0
5.846 0.000 0.000
2.923 5.063 0.000
2.923 1.688 6.045
O Pm As K
6 1 2 1
Cartesian
5.234 5.216 1.678 O
4.557 1.925 1.678 O
7.135 4.825 4.367 O
7.746 2.984 1.678 O
3.946 3.766 4.367 O
6.458 1.534 4.367 O
5.846 3.375 3.022 Pm
8.769 5.063 4.905 As
2.923 1.688 1.140 As
0.000 0.000 0.000 K
```

---

No. 6
Computed, not measured: LiTmU2S4 after structural relaxation at the GGA-PBE level of DFT.

Values from the calculation:
- size of the total moment (μB/f.u.) = 0.6
- energy relative to the elements, uncorrected (kJ per mole of atoms) = -144
- DOS at the Fermi energy (states/eV per cell) = 12.00

POSCAR file:
```
LiTmU2S4
1.0
3.779 0.000 0.000
0.000 6.593 0.123
0.000 -2.297 6.392
S Tm U Li
4 1 2 1
Cartesian
1.889 1.120 1.557 S
1.889 3.177 4.958 S
0.000 -0.043 4.906 S
0.000 4.339 1.609 S
0.000 0.000 0.000 Tm
0.000 2.148 3.258 U
1.889 -1.148 3.196 U
1.889 3.297 0.061 Li
```

---

No. 7
Computed, not measured: InCuW2 after structural relaxation at the GGA-PBE level of DFT.

Values from the calculation:
- formation enthalpy at 0 K (meV per atom) = 436
- size of the total moment (μB/f.u.) = 0.0
- DOS at the Fermi energy (states/eV per cell) = 2.11

POSCAR file:
```
InCuW2
1.0
5.333 -0.004 -0.020
2.583 4.666 0.020
-3.602 -2.936 2.617
In W Cu
1 2 1
Cartesian
1.470 2.030 1.318 In
4.014 2.364 0.000 W
7.860 4.629 0.000 W
2.845 -0.304 1.299 Cu
```

---

No. 8
Computed, not measured: CeZnAgAu after structural relaxation at the GGA-PBE level of DFT.

Values from the calculation:
- formation enthalpy at 0 K (meV per atom) = -327
- size of the total moment (μB/f.u.) = 0.7
- DOS at the Fermi energy (states/eV per cell) = 7.45

POSCAR file:
```
CeZnAgAu
1.0
4.916 0.000 0.000
2.458 4.257 0.000
2.458 1.419 4.014
Ce Au Zn Ag
1 1 1 1
Cartesian
7.374 4.257 3.010 Ce
0.000 0.000 0.000 Au
4.916 2.838 2.007 Zn
2.458 1.419 1.003 Ag
```

---

No. 9
Computed, not measured: LiGdGe after structural relaxation at the GGA-PBE level of DFT.

Values from the calculation:
- formation enthalpy at 0 K (meV per atom) = -554
- size of the total moment (μB/f.u.) = 7.0

POSCAR file:
```
LiGdGe
1.0
4.712 0.000 0.000
2.356 4.081 0.000
2.356 1.360 3.848
Ge Gd Li
1 1 1
Cartesian
2.356 1.360 0.962 Ge
0.000 0.000 0.000 Gd
4.712 2.721 1.924 Li
```

---

No. 10
Computed, not measured: MgTaP2S after structural relaxation at the GGA-PBE level of DFT.

Values from the calculation:
- size of the total moment (μB/f.u.) = 0.0
- energy relative to the elements, uncorrected (kJ per mole of atoms) = -1
- DOS at the Fermi energy (states/eV per cell) = 3.15

POSCAR file:
```
MgTaP2S
1.0
-3.974 -1.141 2.585
-2.294 -1.302 -4.101
1.595 -4.407 0.507
S P Mg Ta
1 2 1 1
Cartesian
0.798 -2.204 0.253 S
-1.987 -0.571 1.292 P
-1.147 -0.651 -2.050 P
-2.336 -3.425 -0.505 Mg
0.000 0.000 0.000 Ta
```

---

No. 11
Computed, not measured: Ga3BiMo after structural relaxation at the GGA-PBE level of DFT.

Values from the calculation:
- formation enthalpy at 0 K (meV per atom) = 497
- size of the total moment (μB/f.u.) = 0.0
- DOS at the Fermi energy (states/eV per cell) = 6.00

POSCAR file:
```
Ga3BiMo
1.0
-0.535 4.908 -0.482
-1.421 -0.618 -4.712
-4.722 -0.371 1.472
Ga Mo Bi
3 1 1
Cartesian
-2.361 -0.185 0.736 Ga
-0.710 -0.309 -2.356 Ga
-0.268 2.454 -0.241 Ga
0.000 0.000 0.000 Mo
-3.339 1.960 -1.861 Bi
```

---

No. 12
Computed, not measured: Th3Ir8Rh after structural relaxation at the GGA-PBE level of DFT.

Values from the calculation:
- formation enthalpy at 0 K (meV per atom) = -613
- size of the total moment (μB/f.u.) = 0.0
- DOS at the Fermi energy (states/eV per cell) = 9.05

POSCAR file:
```
Th3Ir8Rh
1.0
5.174 0.000 1.535
2.359 4.605 1.535
0.024 0.014 9.410
Ir Th Rh
8 3 1
Cartesian
1.640 2.597 3.959 Ir
4.254 2.600 9.430 Ir
3.060 0.275 3.959 Ir
3.062 0.274 8.654 Ir
1.640 2.600 8.654 Ir
0.450 0.275 3.185 Ir
2.342 1.432 1.592 Ir
6.114 3.737 7.856 Ir
0.120 0.073 9.086 Th
4.684 2.863 3.187 Th
3.702 2.263 6.497 Th
1.096 0.670 5.794 Rh
```

---

No. 13
Computed, not measured: MgZr4Pt after structural relaxation at the GGA-PBE level of DFT.

Values from the calculation:
- formation enthalpy at 0 K (meV per atom) = 159
- size of the total moment (μB/f.u.) = 0.0
- DOS at the Fermi energy (states/eV per cell) = 5.72

POSCAR file:
```
MgZr4Pt
1.0
-2.809 -0.071 4.934
-5.665 -0.381 0.036
-2.514 -4.775 1.767
Pt Zr Mg
1 4 1
Cartesian
0.000 0.000 0.000 Pt
-5.377 -4.352 3.410 Zr
-4.117 -1.958 2.524 Zr
-5.525 -1.994 4.998 Zr
-6.957 -2.149 2.542 Zr
-8.241 -3.920 5.053 Mg
```

---

No. 14
Computed, not measured: MoIrPt2 after structural relaxation at the GGA-PBE level of DFT.

Values from the calculation:
- formation enthalpy at 0 K (meV per atom) = -141
- size of the total moment (μB/f.u.) = 1.1
- DOS at the Fermi energy (states/eV per cell) = 4.59

POSCAR file:
```
MoIrPt2
1.0
3.920 0.000 0.000
0.000 3.921 0.000
0.000 0.000 3.991
Ir Mo Pt
1 1 2
Cartesian
1.960 0.000 1.995 Ir
0.000 1.960 1.995 Mo
0.000 0.000 0.000 Pt
1.960 1.960 0.000 Pt
```

---

No. 15
Computed, not measured: MgAsHBr2 after structural relaxation at the GGA-PBE level of DFT.

Values from the calculation:
- VASP energy (eV per atom) = -2.28
- size of the total moment (μB/f.u.) = 2.1
- DOS at the Fermi energy (states/eV per cell) = 4.31

POSCAR file:
```
MgAsHBr2
1.0
5.318 0.000 0.000
0.000 5.318 0.000
0.000 0.000 5.269
Br H Mg As
2 1 1 1
Cartesian
2.659 0.000 0.000 Br
0.000 2.659 0.000 Br
2.659 2.659 2.635 H
0.000 0.000 0.000 Mg
0.000 0.000 2.635 As
```

---

No. 16
Computed, not measured: LuZn4Cu after structural relaxation at the GGA-PBE level of DFT.

Values from the calculation:
- formation enthalpy at 0 K (meV per atom) = -107
- size of the total moment (μB/f.u.) = 0.0
- DOS at the Fermi energy (states/eV per cell) = 2.71

POSCAR file:
```
LuZn4Cu
1.0
5.185 0.000 0.000
2.593 4.491 0.000
2.593 1.497 4.234
Cu Zn Lu
1 4 1
Cartesian
0.000 0.000 0.000 Cu
6.483 3.743 2.647 Zn
5.185 2.994 0.527 Zn
3.887 3.743 2.647 Zn
5.185 1.495 2.647 Zn
2.593 1.497 1.058 Lu
```

---

No. 17
Computed, not measured: KAl2FeCu after structural relaxation at the GGA-PBE level of DFT.

Values from the calculation:
- formation enthalpy at 0 K (meV per atom) = 2028
- size of the total moment (μB/f.u.) = 3.0
- DOS at the Fermi energy (states/eV per cell) = 6.86

POSCAR file:
```
KAl2FeCu
1.0
-4.435 -2.924 -1.542
2.491 -4.166 0.735
-1.747 -0.118 5.247
Fe K Al Cu
1 1 2 1
Cartesian
-1.846 -3.604 2.220 Fe
0.000 0.000 0.000 K
-0.873 -0.059 2.624 Al
-2.218 -1.462 -0.771 Al
1.245 -2.083 0.368 Cu
```

---

No. 18
Computed, not measured: TaFe2Hg after structural relaxation at the GGA-PBE level of DFT.

Values from the calculation:
- formation enthalpy at 0 K (meV per atom) = 377
- size of the total moment (μB/f.u.) = 4.5
- DOS at the Fermi energy (states/eV per cell) = 3.70

POSCAR file:
```
TaFe2Hg
1.0
8.877 -0.098 -0.058
8.428 2.788 -0.058
8.428 1.310 2.462
Fe Ta Hg
2 1 1
Cartesian
6.701 1.042 0.611 Fe
25.573 3.975 2.332 Fe
19.039 2.959 1.736 Ta
13.018 2.023 1.187 Hg
```

---

No. 19
Computed, not measured: La9DyY2 after structural relaxation at the GGA-PBE level of DFT.

Values from the calculation:
- formation enthalpy at 0 K (meV per atom) = 6
- size of the total moment (μB/f.u.) = 0.0
- DOS at the Fermi energy (states/eV per cell) = 15.46

POSCAR file:
```
La9DyY2
1.0
-0.029 5.209 -0.144
-0.880 -0.147 -5.134
-15.407 -0.011 2.641
La Y Dy
9 2 1
Cartesian
-13.291 -0.083 -0.365 La
-2.570 2.603 0.366 La
-12.865 2.595 2.130 La
-7.718 2.599 1.248 La
-0.454 2.531 -2.639 La
-2.996 -0.075 -2.129 La
-8.143 -0.079 -1.247 La
-5.582 2.527 -1.760 La
-10.733 2.524 -0.878 La
-10.273 -0.007 1.761 Y
-5.134 -0.004 0.880 Y
0.000 0.000 0.000 Dy
```

---

No. 20
Computed, not measured: Sm3Dy3In after structural relaxation at the GGA-PBE level of DFT.

Values from the calculation:
- formation enthalpy at 0 K (meV per atom) = -18
- size of the total moment (μB/f.u.) = 0.0
- DOS at the Fermi energy (states/eV per cell) = 43.28

POSCAR file:
```
Sm3Dy3In
1.0
5.218 0.000 0.000
0.000 13.421 0.000
0.000 0.000 12.770
Sm Dy In
12 12 4
Cartesian
1.305 10.910 11.197 Sm
1.305 11.040 3.439 Sm
1.305 4.330 2.945 Sm
1.305 4.199 7.957 Sm
3.914 2.381 9.330 Sm
3.914 9.091 9.824 Sm
3.914 12.252 8.822 Sm
3.914 5.541 10.333 Sm
3.914 2.512 1.572 Sm
1.305 1.169 3.948 Sm
1.305 7.880 2.437 Sm
3.914 9.222 4.813 Sm
3.914 12.686 5.478 Dy
1.305 10.404 7.150 Dy
1.305 0.254 0.857 Dy
1.305 6.964 5.528 Dy
3.914 13.168 11.912 Dy
3.914 5.975 0.907 Dy
1.305 7.446 11.863 Dy
3.914 3.017 5.619 Dy
3.914 6.457 7.242 Dy
1.305 0.735 7.292 Dy
3.914 9.728 0.766 Dy
1.305 3.693 12.004 Dy
3.914 12.697 2.337 In
1.305 0.724 10.432 In
3.914 5.987 4.047 In
1.305 7.434 8.722 In
```